(1)
VASP calculation (GGA-PBE) on a relaxed structure of HoZn5.

Cell: 4.3521 4.2426 6.1025 Å, 110.34 90.00 90.00°
Closest atoms and distances in Å follow each position.
Element x y z (fractional)
Zn (0.5000, 0.8272, 0.6544)  10 Zn 2.72-3.04, 2 Ho 2.94
Zn (0.0000, 0.6848, 0.3697)  4 Zn 2.59-2.72
Zn (0.5000, 0.5000, 0.0000)  8 Zn 2.90-3.03, 4 Ho 3.04
Zn (0.0000, 0.3152, 0.6303)  4 Zn 2.59-2.72
Zn (0.5000, 0.1728, 0.3456)  10 Zn 2.72-3.04, 2 Ho 2.94
Ho (0.0000, 0.0000, 0.0000)  12 Zn 2.94-3.04

DFT formation energy in eV per formula unit: -1.0
Density of states at the Fermi level in states/eV/f.u.: 2.4

(2)
VASP calculation (GGA-PBE) on a relaxed structure of Ho2Zn3.

Cell: 3.5603 4.4609 13.4916 Å, 90.00 97.58 90.00°
Closest atoms and distances in Å follow each position.
Element x y z (fractional)
Ho (0.2906, 0.7500, 0.5813)  7 Zn 3.02-3.20
Ho (0.7094, 0.2500, 0.4187)  7 Zn 3.02-3.20
Ho (0.5727, 0.7500, 0.1454)  12 Zn 3.10-3.17
Ho (0.4273, 0.2500, 0.8546)  12 Zn 3.10-3.17
Zn (0.1710, 0.7500, 0.3420)  2 Zn 2.64
Zn (0.8290, 0.2500, 0.6580)  2 Zn 2.64
Zn (0.8819, 0.7500, 0.7637)  3 Zn 2.54-2.64
Zn (0.1181, 0.2500, 0.2363)  3 Zn 2.54-2.64
Zn (0.0231, 0.2500, 0.0462)  3 Zn 2.54-2.55
Zn (0.9769, 0.7500, 0.9538)  3 Zn 2.54-2.55

DFT formation energy in eV per formula unit: -1.7
Density of states at the Fermi level in states/eV/f.u.: 4.5

(3)
VASP calculation (GGA-PBE) on a relaxed structure of Ho2Zn7.

Cell: 5.4132 5.4132 12.9848 Å, 77.97 77.97 60.00°
Closest atoms and distances in Å follow each position.
Element x y z (fractional)
Ho (0.0517, 0.0517, 0.8450)  18 Zn 3.13-3.50
Ho (0.9483, 0.9483, 0.1550)  18 Zn 3.13-3.50
Ho (0.1487, 0.1487, 0.5539)  12 Zn 3.07-3.20, 3 Ho 3.41
Ho (0.8513, 0.8513, 0.4461)  12 Zn 3.07-3.20, 3 Ho 3.41
Zn (0.5000, 0.5000, 0.5000)  6 Zn 2.66
Zn (0.2785, 0.2785, 0.1645)  6 Zn 2.60
Zn (0.7215, 0.7215, 0.8355)  6 Zn 2.60
Zn (0.3889, 0.3889, 0.8332)  6 Zn 2.61-2.62
Zn (0.6111, 0.6111, 0.1668)  6 Zn 2.61-2.62
Zn (0.5000, 0.0000, 0.0000)  8 Zn 2.60-2.71
Zn (0.0000, 0.5000, 0.0000)  8 Zn 2.60-2.71
Zn (0.5000, 0.5000, 0.0000)  8 Zn 2.60-2.71
Zn (0.6130, 0.6130, 0.6689)  7 Zn 2.60-2.75
Zn (0.6130, 0.1051, 0.6689)  7 Zn 2.60-2.75
Zn (0.1051, 0.6130, 0.6689)  7 Zn 2.60-2.75
Zn (0.3870, 0.3870, 0.3311)  7 Zn 2.60-2.75
Zn (0.3870, 0.8949, 0.3311)  7 Zn 2.60-2.75
Zn (0.8949, 0.3870, 0.3311)  7 Zn 2.60-2.75

DFT formation energy in eV per formula unit: -2.7
Density of states at the Fermi level in states/eV/f.u.: 4.5

(4)
VASP calculation (GGA-PBE) on a relaxed structure of Ho3ZrZn2.

Cell: 3.4528 3.4528 12.0051 Å, 90.00 90.00 90.00°
Closest atoms and distances in Å follow each position.
Element x y z (fractional)
Ho (0.0000, 0.0000, 0.0000)  8 Zn 3.05
Ho (0.0000, 0.0000, 0.6890)  4 Zn 3.10, 4 Zr 3.33, 4 Ho 3.45
Ho (0.0000, 0.0000, 0.3110)  4 Zn 3.10, 4 Zr 3.33, 4 Ho 3.45
Zr (0.5000, 0.5000, 0.5000)  8 Ho 3.33, 4 Zr 3.45
Zn (0.5000, 0.5000, 0.8481)  8 Ho 3.05-3.10
Zn (0.5000, 0.5000, 0.1519)  8 Ho 3.05-3.10

DFT formation energy in eV per formula unit: -1.2
Density of states at the Fermi level in states/eV/f.u.: 6.3

(5)
VASP calculation (GGA-PBE) on a relaxed structure of Ho4ZrZn.

Cell: 3.4723 3.4723 13.3614 Å, 90.00 90.00 90.00°
Closest atoms and distances in Å follow each position.
Element x y z (fractional)
Ho (0.5000, 0.5000, 0.8329)  4 Zr 3.32, 8 Ho 3.47-3.62
Ho (0.5000, 0.5000, 0.1671)  4 Zr 3.32, 8 Ho 3.47-3.62
Ho (0.0000, 0.0000, 0.6337)  4 Zn 3.04
Ho (0.0000, 0.0000, 0.3663)  4 Zn 3.04
Zr (0.0000, 0.0000, 0.0000)  8 Ho 3.32, 4 Zr 3.47
Zn (0.5000, 0.5000, 0.5000)  8 Ho 3.04

DFT formation energy in eV per formula unit: -0.4
Density of states at the Fermi level in states/eV/f.u.: 8.2

(6)
VASP calculation (GGA-PBE) on a relaxed structure of HoZrZn4.

Cell: 5.3399 5.3399 5.3399 Å, 60.00 60.00 60.00°
Closest atoms and distances in Å follow each position.
Element x y z (fractional)
Zn (0.6257, 0.6257, 0.1229)  6 Zn 2.66-2.68
Zn (0.6257, 0.1229, 0.6257)  6 Zn 2.66-2.68
Zn (0.6257, 0.6257, 0.6257)  6 Zn 2.66-2.68
Zn (0.1229, 0.6257, 0.6257)  6 Zn 2.66-2.68
Ho (0.2500, 0.2500, 0.2500)  12 Zn 3.13, 4 Zr 3.27
Zr (0.0000, 0.0000, 0.0000)  12 Zn 3.13, 4 Ho 3.27

DFT formation energy in eV per formula unit: -1.6
Offset from the most stable computed form in eV/atom: 0.052
Density of states at the Fermi level in states/eV/f.u.: 6.0